Entry 1:
# SmPu2Sc

A relaxed SmPu2Sc crystal (GGA-PBE, Alexandria via LeMat-Bulk).

The space group is P4/mmm (No. 123) and the conventional cell measures 4.702, 4.702 and 4.953 Å, with angles of 90.00, 90.00 and 90.00 degrees. The inequivalent atoms are Sm at (0.000, 0.000, 0.000), Pu at (0.000, 0.500, 0.500) and Sc at (0.500, 0.500, 0.000).

The value obtained for the formation energy is 191 meV/atom. The mass density comes out at 10.4 g/cm3. The calculation puts the energy above the most stable polymorph in this dataset at 3.1 meV/atom.

=====

Entry 2:
# SmPu2Sc

A relaxed SmPu2Sc crystal (GGA-PBE, Alexandria via LeMat-Bulk).

The space group is R3m (No. 160, hexagonal axes) and the conventional cell measures 3.4107, 3.4107 and 33.4226 Å, with angles of 90.00, 90.00 and 120.00 degrees. The inequivalent atoms are Sm at (0.0000, 0.0000, 0.0000), Pu at (0.0000, 0.0000, 0.5799), Pu at (0.0000, 0.0000, 0.7539) and Sc at (0.0000, 0.0000, 0.1670).

The value obtained for the formation energy is 194 meV/atom. The mass density comes out at 10.1 g/cm3. The calculation puts the energy above the most stable polymorph in this dataset at 6.0 meV/atom.

=====

Entry 3:
# SmPu2Sc

A relaxed SmPu2Sc crystal (GGA-PBE, Alexandria via LeMat-Bulk).

The space group is P4/mmm (No. 123) and the conventional cell measures 3.339, 3.339 and 9.912 Å, with angles of 90.00, 90.00 and 90.00 degrees. The inequivalent atoms are Sm at (0.000, 0.000, 0.000), Pu at (0.500, 0.500, 0.265) and Sc at (0.000, 0.000, 0.500).

The value obtained for the formation energy is 188 meV/atom. The mass density comes out at 10.3 g/cm3. The calculation puts the energy above the most stable polymorph in this dataset at 0.0 meV/atom.

=====

Entry 4:
# TbSmPuSc

A relaxed TbSmPuSc crystal (GGA-PBE, Alexandria via LeMat-Bulk).

The space group is F-43m (No. 216) and the conventional cell measures 7.780, 7.780 and 7.780 Å, with angles of 90.00, 90.00 and 90.00 degrees. The inequivalent atoms are Tb at (0.000, 0.000, 0.000), Sm at (0.250, 0.250, 0.750), Pu at (0.250, 0.250, 0.250) and Sc at (0.000, 0.000, 0.500).

The value obtained for the formation energy is 203 meV/atom. The mass density comes out at 8.4 g/cm3.

=====

Entry 5:
# Sm3Pu2ScTe6

A relaxed Sm3Pu2ScTe6 crystal (GGA-PBE, Alexandria via LeMat-Bulk).

The space group is C2/m (No. 12) and the conventional cell measures 19.187, 4.375 and 8.830 Å, with angles of 90.00, 103.85 and 90.00 degrees. The inequivalent atoms are Sm at (0.000, 0.000, 0.000), Sm at (0.171, 0.500, 0.336), Pu at (0.165, 0.500, 0.832), Sc at (0.000, 0.000, 0.500), Te at (0.002, 0.500, 0.265), Te at (0.160, 0.000, 0.581) and Te at (0.168, 0.000, 0.082).

The mass density comes out at 8.1 g/cm3. The calculation puts the formation energy from raw total energies at -14.979 eV/f.u.

=====

Entry 6:
# Sm2PuScTe4

A relaxed Sm2PuScTe4 crystal (GGA-PBE, Alexandria via LeMat-Bulk).

The space group is P2/m (No. 10) and the conventional cell measures 7.565, 4.344 and 7.614 Å, with angles of 90.00, 109.05 and 90.00 degrees. The inequivalent atoms are Sm at (0.000, 0.000, 0.000), Sm at (0.500, 0.500, 0.000), Pu at (0.000, 0.500, 0.500), Sc at (0.500, 0.000, 0.500), Te at (0.255, 0.000, 0.741) and Te at (0.263, 0.500, 0.265).

The mass density comes out at 7.7 g/cm3. The calculation puts the formation energy from raw total energies at -9.929 eV/f.u.

=====

Entry 7:
# SmPu2ScTe4

A relaxed SmPu2ScTe4 crystal (GGA-PBE, Alexandria via LeMat-Bulk).

The space group is P2/m (No. 10) and the conventional cell measures 7.513, 4.360 and 7.654 Å, with angles of 90.00, 109.41 and 90.00 degrees. The inequivalent atoms are Sm at (0.000, 0.000, 0.000), Pu at (0.500, 0.000, 0.500), Pu at (0.500, 0.500, 0.000), Sc at (0.000, 0.500, 0.500), Te at (0.238, 0.000, 0.737) and Te at (0.245, 0.500, 0.258).

The mass density comes out at 8.4 g/cm3. The calculation puts the formation energy from raw total energies at -9.298 eV/f.u.

=====

Entry 8:
# Sm3PuSc2Te6

A relaxed Sm3PuSc2Te6 crystal (GGA-PBE, Alexandria via LeMat-Bulk).

The space group is C2/m (No. 12) and the conventional cell measures 19.018, 4.316 and 8.755 Å, with angles of 90.00, 103.96 and 90.00 degrees. The inequivalent atoms are Sm at (0.000, 0.000, 0.000), Sm at (0.162, 0.500, 0.331), Pu at (0.000, 0.000, 0.500), Sc at (0.162, 0.500, 0.824), Te at (0.006, 0.500, 0.751), Te at (0.169, 0.000, 0.596) and Te at (0.173, 0.000, 0.069).

The mass density comes out at 7.4 g/cm3. The calculation puts the formation energy from raw total energies at -14.959 eV/f.u.

=====

Entry 9:
# Sm2Pu3ScTe6

A relaxed Sm2Pu3ScTe6 crystal (GGA-PBE, Alexandria via LeMat-Bulk).

The space group is C2/m (No. 12) and the conventional cell measures 19.192, 4.374 and 8.825 Å, with angles of 90.00, 103.91 and 90.00 degrees. The inequivalent atoms are Sm at (0.166, 0.000, 0.335), Pu at (0.000, 0.500, 0.500), Pu at (0.171, 0.000, 0.836), Sc at (0.000, 0.500, 0.000), Te at (0.002, 0.000, 0.764), Te at (0.160, 0.500, 0.079) and Te at (0.166, 0.500, 0.586).

The mass density comes out at 8.5 g/cm3. The calculation puts the formation energy from raw total energies at -14.405 eV/f.u.

=====

Entry 10:
# SmTmPuSc

A relaxed SmTmPuSc crystal (GGA-PBE, Alexandria via LeMat-Bulk).

The space group is F-43m (No. 216) and the conventional cell measures 7.734, 7.734 and 7.734 Å, with angles of 90.00, 90.00 and 90.00 degrees. The inequivalent atoms are Sm at (0.000, 0.000, 0.000), Tm at (0.250, 0.250, 0.750), Pu at (0.000, 0.000, 0.500) and Sc at (0.250, 0.250, 0.250).

The value obtained for the formation energy is 180 meV/atom. The mass density comes out at 8.7 g/cm3.

=====

Entry 11:
# Pu2Sc2Sn7

A relaxed Pu2Sc2Sn7 crystal (GGA-PBE, Alexandria via LeMat-Bulk).

The space group is Cmmm (No. 65) and the conventional cell measures 8.989, 10.641 and 6.616 Å, with angles of 90.00, 90.00 and 90.00 degrees. The inequivalent atoms are Pu at (0.164, 0.000, 0.000), Sc at (0.000, 0.272, 0.500), Sn at (0.000, 0.000, 0.500), Sn at (0.000, 0.500, 0.219) and Sn at (0.250, 0.250, 0.224).

The value obtained for the formation energy is -70 meV/atom. The mass density comes out at 7.4 g/cm3.

=====

Entry 12:
# Pu3ScSn4

A relaxed Pu3ScSn4 crystal (GGA-PBE, Alexandria via LeMat-Bulk).

The space group is P4/mmm (No. 123) and the conventional cell measures 3.335, 3.335 and 18.130 Å, with angles of 90.00, 90.00 and 90.00 degrees. The inequivalent atoms are Pu at (0.000, 0.000, 0.000), Pu at (0.000, 0.000, 0.256), Sc at (0.000, 0.000, 0.500), Sn at (0.500, 0.500, 0.129) and Sn at (0.500, 0.500, 0.385).

The value obtained for the formation energy is -431 meV/atom. The mass density comes out at 10.3 g/cm3.

=====

Entry 13:
# PuScTcSn

A relaxed PuScTcSn crystal (GGA-PBE, Alexandria via LeMat-Bulk).

The space group is F-43m (No. 216) and the conventional cell measures 6.819, 6.819 and 6.819 Å, with angles of 90.00, 90.00 and 90.00 degrees. The inequivalent atoms are Pu at (0.000, 0.000, 0.000), Sc at (0.250, 0.250, 0.750), Tc at (0.250, 0.250, 0.250) and Sn at (0.000, 0.000, 0.500).

The value obtained for the formation energy is -210 meV/atom. The mass density comes out at 10.6 g/cm3.

=====

Entry 14:
# TmPuScSn

A relaxed TmPuScSn crystal (GGA-PBE, Alexandria via LeMat-Bulk).

The space group is F-43m (No. 216) and the conventional cell measures 7.451, 7.451 and 7.451 Å, with angles of 90.00, 90.00 and 90.00 degrees. The inequivalent atoms are Tm at (0.000, 0.000, 0.000), Pu at (0.000, 0.000, 0.500), Sc at (0.250, 0.250, 0.250) and Sn at (0.250, 0.250, 0.750).

The value obtained for the formation energy is -141 meV/atom. The mass density comes out at 9.3 g/cm3.

=====

Entry 15:
# Sr3Pu3ScTe8

A relaxed Sr3Pu3ScTe8 crystal (GGA-PBE, Alexandria via LeMat-Bulk).

The space group is C2/m (No. 12) and the conventional cell measures 15.558, 8.911 and 9.220 Å, with angles of 90.00, 124.49 and 90.00 degrees. The inequivalent atoms are Sr at (0.000, 0.000, 0.000), Sr at (0.250, 0.250, 0.000), Pu at (0.000, 0.000, 0.500), Pu at (0.250, 0.250, 0.500), Sc at (0.000, 0.500, 0.500), Te at (0.005, 0.262, 0.271), Te at (0.238, 0.500, 0.730) and Te at (0.247, 0.000, 0.735).

The mass density comes out at 6.5 g/cm3. The calculation puts the formation energy from raw total energies at -19.658 eV/f.u.

=====

Entry 16:
# PuScTa

A relaxed PuScTa crystal (GGA-PBE, Alexandria via LeMat-Bulk).

The space group is Pmmn (No. 59, origin choice 2) and the conventional cell measures 3.150, 4.492 and 11.676 Å, with angles of 90.00, 90.00 and 90.00 degrees. The inequivalent atoms are Pu at (0.250, 0.250, 0.199), Sc at (0.250, 0.750, 0.570) and Ta at (0.250, 0.750, 0.022).

The value obtained for the formation energy is 695 meV/atom. The mass density comes out at 9.4 g/cm3.

=====

Entry 17:
# TbPu4Sc

A relaxed TbPu4Sc crystal (GGA-PBE, Alexandria via LeMat-Bulk).

The space group is F-43m (No. 216) and the conventional cell measures 8.607, 8.607 and 8.607 Å, with angles of 90.00, 90.00 and 90.00 degrees. The inequivalent atoms are Tb at (0.000, 0.000, 0.000), Pu at (0.125, 0.125, 0.375) and Sc at (0.250, 0.250, 0.750).

The value obtained for the formation energy is 265 meV/atom. The mass density comes out at 12.3 g/cm3.

=====

Entry 18:
# Tb14PuSc

A relaxed Tb14PuSc crystal (GGA-PBE, Alexandria via LeMat-Bulk).

The space group is P4/mmm (No. 123) and the conventional cell measures 7.068, 7.068 and 9.946 Å, with angles of 90.00, 90.00 and 90.00 degrees. The inequivalent atoms are Tb at (0.000, 0.000, 0.000), Tb at (0.000, 0.500, 0.000), Tb at (0.000, 0.500, 0.500), Tb at (0.250, 0.250, 0.255), Tb at (0.500, 0.500, 0.000), Pu at (0.000, 0.000, 0.500) and Sc at (0.500, 0.500, 0.500).

The value obtained for the formation energy is 40 meV/atom. The mass density comes out at 8.4 g/cm3.

=====

Entry 19:
# TbPuSc14

A relaxed TbPuSc14 crystal (GGA-PBE, Alexandria via LeMat-Bulk).

The space group is Amm2 (No. 38) and the conventional cell measures 10.385, 6.661 and 11.510 Å, with angles of 90.00, 90.00 and 90.00 degrees. The inequivalent atoms are Tb at (0.000, 0.000, 0.000), Pu at (0.000, 0.000, 0.499), Sc at (0.000, 0.250, 0.252), Sc at (0.249, 0.000, 0.666), Sc at (0.254, 0.246, 0.417), Sc at (0.256, 0.000, 0.169), Sc at (0.500, 0.000, 0.001), Sc at (0.500, 0.000, 0.501) and Sc at (0.500, 0.250, 0.250).

The value obtained for the formation energy is 16 meV/atom. The mass density comes out at 4.3 g/cm3.

=====

Entry 20:
# TbPu2Sc6

A relaxed TbPu2Sc6 crystal (GGA-PBE, Alexandria via LeMat-Bulk).

The space group is P-31m (No. 162) and the conventional cell measures 5.4733, 5.4733 and 10.5167 Å, with angles of 90.00, 90.00 and 120.00 degrees. The inequivalent atoms are Tb at (0.0000, 0.0000, 0.0000), Pu at (0.3333, 0.6667, 0.5000) and Sc at (0.0000, 0.3356, 0.2533).

The value obtained for the formation energy is 574 meV/atom. The mass density comes out at 5.6 g/cm3.

=====

Entry 21:
# Tb4PuSc5

A relaxed Tb4PuSc5 crystal (GGA-PBE, Alexandria via LeMat-Bulk).

The space group is I4mm (No. 107) and the conventional cell measures 10.125, 10.125 and 5.520 Å, with angles of 90.00, 90.00 and 90.00 degrees. The inequivalent atoms are Tb at (0.000, 0.315, 0.000), Pu at (0.000, 0.000, 0.272), Sc at (0.000, 0.000, 0.795) and Sc at (0.184, 0.184, 0.498).

The value obtained for the formation energy is 213 meV/atom. The mass density comes out at 6.5 g/cm3.

=====

Entry 22:
# TbPuSc

A relaxed TbPuSc crystal (GGA-PBE, Alexandria via LeMat-Bulk).

The space group is I4mm (No. 107) and the conventional cell measures 3.420, 3.420 and 14.129 Å, with angles of 90.00, 90.00 and 90.00 degrees. The inequivalent atoms are Tb at (0.000, 0.000, 0.000), Pu at (0.000, 0.000, 0.675) and Sc at (0.000, 0.000, 0.331).

The value obtained for the formation energy is 117 meV/atom. The mass density comes out at 9.0 g/cm3. The calculation puts the energy above the most stable polymorph in this dataset at 0.0 meV/atom.

=====

Entry 23:
# TbPuSc6

A relaxed TbPuSc6 crystal (GGA-PBE, Alexandria via LeMat-Bulk).

The space group is Cmmm (No. 65) and the conventional cell measures 9.382, 9.409 and 4.597 Å, with angles of 90.00, 90.00 and 90.00 degrees. The inequivalent atoms are Tb at (0.000, 0.000, 0.000), Pu at (0.000, 0.500, 0.000), Sc at (0.000, 0.256, 0.500), Sc at (0.244, 0.500, 0.500) and Sc at (0.250, 0.250, 0.000).

The value obtained for the formation energy is 71 meV/atom. The mass density comes out at 5.5 g/cm3.

=====

Entry 24:
# TbPuSc

A relaxed TbPuSc crystal (GGA-PBE, Alexandria via LeMat-Bulk).

The space group is Pmmn (No. 59, origin choice 2) and the conventional cell measures 3.228, 5.424 and 9.408 Å, with angles of 90.00, 90.00 and 90.00 degrees. The inequivalent atoms are Tb at (0.250, 0.250, 0.075), Pu at (0.250, 0.750, 0.265) and Sc at (0.250, 0.750, 0.593).

The value obtained for the formation energy is 188 meV/atom. The mass density comes out at 9.0 g/cm3. The calculation puts the energy above the most stable polymorph in this dataset at 71.0 meV/atom.

=====

Entry 25:
# TbPuSc

A relaxed TbPuSc crystal (GGA-PBE, Alexandria via LeMat-Bulk).

The space group is P3m1 (No. 156) and the conventional cell measures 3.3977, 3.3977 and 8.2918 Å, with angles of 90.00, 90.00 and 120.00 degrees. The inequivalent atoms are Tb at (0.0000, 0.0000, 0.0000), Pu at (0.6667, 0.3333, 0.3467) and Sc at (0.3333, 0.6667, 0.6679).

The value obtained for the formation energy is 136 meV/atom. The mass density comes out at 9.0 g/cm3. The calculation puts the energy above the most stable polymorph in this dataset at 19.3 meV/atom.